TmSi3Ru PBE-GGA optimized geometry; ΔE_f (raw) = -0.599 eV/atom; space group = No. 63
1.0
-2.461 -3.924 3.471
5.204 -0.852 -2.388
2.526 2.496 4.614
Ru Tm Si
2 2 6
Direct
0.883 0.117 0.750
0.117 0.883 0.250
0.761 0.239 0.250
0.239 0.761 0.750
0.735 0.735 0.500
0.656 0.345 0.750
0.344 0.655 0.250
0.265 0.265 0.500
0.735 0.735 0.000
0.265 0.265 0.000